The following is a DFT calculation (PBE-GGA) of a relaxed FeCuHg2 crystal.

Structure (POSCAR):
```
FeCuHg2
1.0
3.0097 0.0000 0.0000
-1.5049 2.6065 0.0000
0.0000 0.0000 26.6032
Fe Cu Hg
3 3 6
direct
0.0000 0.0000 0.0000
0.3333 0.6667 0.6667
0.6667 0.3333 0.3333
0.0000 0.0000 0.5000
0.3333 0.6667 0.1667
0.6667 0.3333 0.8333
0.0000 0.0000 0.2495
0.0000 0.0000 0.7505
0.3333 0.6667 0.4172
0.3333 0.6667 0.9162
0.6667 0.3333 0.0838
0.6667 0.3333 0.5828
```

Distance to the lowest polymorph of the same formula   0.094 eV per atom
Energy relative to the elements   0.411 eV/atom
Volume   17.4 Å³ per atom
E   -2.88 eV per atom
Magnetic moment   2.71 μB per formula unit